The following is a DFT calculation (GGA-PBE) of a relaxed structure of La4Zn2Cd.

Properties
Distance to the lowest polymorph of the same formula = 0 meV/atom
E = -3.50 eV/atom
Symmetry = R-3m
Spin magnetization = 0.0 μB/f.u.
DFT formation energy = -0.19 eV per atom

Lattice parameters (Å, degrees): 5.3293 5.3293 9.0625 72.90 72.90 60.00
Last column: nearest neighbours and their distance in Å.
Atoms (fractional coordinates):
La (0.8676, 0.8676, 0.3973)  4 Zn 3.15-3.38, 1 Cd 3.39
La (0.1324, 0.1324, 0.6027)  4 Zn 3.15-3.38, 1 Cd 3.39
La (0.6156, 0.6156, 0.1533)  4 Zn 3.15-3.30, 3 Cd 3.34
La (0.3844, 0.3844, 0.8467)  4 Zn 3.15-3.30, 3 Cd 3.34
Zn (0.7445, 0.7445, 0.7666)  8 La 3.15-3.38
Zn (0.2555, 0.2555, 0.2334)  8 La 3.15-3.38
Cd (0.0000, 0.0000, 0.0000)  8 La 3.34-3.39, 6 Zn 3.66

The following is a DFT calculation (GGA-PBE) of a relaxed structure of BeBiAu2.

Properties
Distance to the lowest polymorph of the same formula = 158 meV/atom
E = -3.36 eV/atom
Symmetry = I-42d
Spin magnetization = 0.0 μB/f.u.
DFT formation energy = 0.18 eV per atom

Lattice parameters (Å, degrees): 4.9643 4.9643 8.2035 72.39 72.39 90.00
Last column: nearest neighbours and their distance in Å.
Atoms (fractional coordinates):
Be (0.5000, 0.5000, 0.0000)  4 Au 2.33
Be (0.2500, 0.7500, 0.5000)  4 Au 2.33
Au (0.5127, 0.1250, 0.2500)  2 Be 2.33
Au (0.2373, 0.6250, 0.2500)  2 Be 2.33
Au (0.3750, 0.4873, 0.7500)  2 Be 2.33
Au (0.8750, 0.7627, 0.7500)  2 Be 2.33
Bi (0.0000, 0.0000, 0.0000)  4 Au 2.87
Bi (0.7500, 0.2500, 0.5000)  4 Au 2.87

The following is a DFT calculation (GGA-PBE) of a relaxed structure of RbAg3Au2.

Properties
E = -2.76 eV/atom
Symmetry = Cmcm
Spin magnetization = 0.0 μB/f.u.
DFT formation energy = -0.08 eV per atom

Lattice parameters (Å, degrees): 5.5915 7.3907 7.3907 100.09 90.00 90.00
Last column: nearest neighbours and their distance in Å.
Atoms (fractional coordinates):
Rb (0.2500, 0.3357, 0.3357)  9 Ag 3.48-3.88, 4 Au 3.86
Rb (0.7500, 0.6643, 0.6643)  9 Ag 3.48-3.88, 4 Au 3.86
Ag (0.7500, 0.4635, 0.0568)  4 Au 2.83-2.84, 3 Ag 2.91-3.00
Ag (0.7500, 0.0568, 0.4635)  4 Au 2.83-2.84, 3 Ag 2.91-3.00
Ag (0.2500, 0.5365, 0.9432)  4 Au 2.83-2.84, 3 Ag 2.91-3.00
Ag (0.7500, 0.0729, 0.0729)  4 Au 2.88, 4 Ag 2.91-3.12
Ag (0.2500, 0.9271, 0.9271)  4 Au 2.88, 4 Ag 2.91-3.12
Ag (0.2500, 0.9432, 0.5365)  4 Au 2.83-2.84, 3 Ag 2.91-3.00
Au (0.5000, 0.7861, 0.2139)  2 Au 2.80, 6 Ag 2.83-2.88
Au (0.0000, 0.7861, 0.2139)  2 Au 2.80, 6 Ag 2.83-2.88
Au (0.0000, 0.2139, 0.7861)  2 Au 2.80, 6 Ag 2.83-2.88
Au (0.5000, 0.2139, 0.7861)  2 Au 2.80, 6 Ag 2.83-2.88

The following is a DFT calculation (GGA-PBE) of a relaxed structure of AgMo2Pb.

Properties
E = -6.32 eV/atom
Symmetry = Pmmm
Spin magnetization = 0.0 μB/f.u.
DFT formation energy = 0.74 eV per atom

Lattice parameters (Å, degrees): 3.0165 4.3976 5.8343 90.00 90.00 90.00
Last column: nearest neighbours and their distance in Å.
Atoms (fractional coordinates):
Ag (0.5000, 0.5000, 0.7500)  8 Mo 2.91, 2 Pb 2.92, 2 Ag 3.02
Mo (0.0000, 0.0000, 0.9486)  1 Mo 2.32
Mo (0.0000, 0.0000, 0.5514)  1 Mo 2.32
Pb (0.5000, 0.5000, 0.2500)  2 Ag 2.92, 2 Pb 3.02, 8 Mo 3.19